The following is a PBE calculation of a relaxed MnCu2Se crystal, from Alexandria.

abc: 7.627 7.627 7.627
angles: 23.25 23.25 23.25
Positions (direct):
Cu  0.248  0.248  0.248
Cu  0.995  0.995  0.995
Mn  0.500  0.500  0.500
Se  0.758  0.758  0.758

Output
Formation energy without anion corrections (eV per atom): 0.219
Space-group type: R3m, No. 160